# 1
The following is a PBE calculation of a geometry-optimized Ce2GaRu3 structure, from Alexandria.

Cell: 5.6565 5.6565 7.8635 Å, 90.00 90.00 120.00°
Fractional coordinates of all 12 atoms:
1 Ce 0.3333 0.6667 0.0626
2 Ce 0.3333 0.6667 0.4374
3 Ce 0.6667 0.3333 0.5626
4 Ce 0.6667 0.3333 0.9374
5 Ga 0.0000 0.0000 0.0000
6 Ga 0.0000 0.0000 0.5000
7 Ru 0.1702 0.3405 0.7500
8 Ru 0.1702 0.8298 0.7500
9 Ru 0.3405 0.1702 0.2500
10 Ru 0.6595 0.8298 0.7500
11 Ru 0.8298 0.1702 0.2500
12 Ru 0.8298 0.6595 0.2500

Calculated values
Magnetization in μB/f.u.: 0.00
DFT total energy in eV/atom: -7.523



# 2
The following is a PBE calculation of a geometry-optimized LiCa2CuH structure, from Alexandria.

Cell: 5.1301 5.1301 3.8114 Å, 90.00 90.00 90.00°
Fractional coordinates of all 5 atoms:
1 Li 0.0000 0.0000 0.0000
2 Ca 0.0000 0.5000 0.5000
3 Ca 0.5000 0.0000 0.5000
4 Cu 0.5000 0.5000 0.0000
5 H 0.5000 0.5000 0.5000

Calculated values
Magnetization in μB/f.u.: 0.00
DFT total energy in eV/atom: -2.756



# 3
The following is a PBE calculation of a geometry-optimized RbTiPS5 structure, from Alexandria.

Cell: 10.0115 10.0115 16.1327 Å, 120.12 120.12 41.82°
Fractional coordinates of all 32 atoms:
1 Rb 0.1667 0.1667 0.3599
2 Rb 0.1986 0.1986 0.8531
3 Rb 0.8014 0.8014 0.1469
4 Rb 0.8333 0.8333 0.6401
5 Ti 0.2242 0.7758 0.5000
6 Ti 0.2781 0.7219 0.0000
7 Ti 0.7219 0.2781 0.0000
8 Ti 0.7758 0.2242 0.5000
9 P 0.1649 0.1649 0.0899
10 P 0.4206 0.4206 0.5931
11 P 0.5794 0.5794 0.4069
12 P 0.8351 0.8351 0.9101
13 S 0.0585 0.0585 0.9453
14 S 0.0915 0.6253 0.8518
15 S 0.1029 0.1029 0.5891
16 S 0.2625 0.7315 0.6484
17 S 0.2685 0.7375 0.3516
18 S 0.2767 0.2767 0.1045
19 S 0.3223 0.3223 0.6078
20 S 0.3747 0.9085 0.1482
21 S 0.3916 0.3916 0.4477
22 S 0.4777 0.4777 0.0869
23 S 0.5223 0.5223 0.9131
24 S 0.6084 0.6084 0.5523
25 S 0.6253 0.0915 0.8518
26 S 0.6777 0.6777 0.3922
27 S 0.7233 0.7233 0.8955
28 S 0.7315 0.2625 0.6484
29 S 0.7375 0.2685 0.3516
30 S 0.8971 0.8971 0.4109
31 S 0.9085 0.3747 0.1482
32 S 0.9415 0.9415 0.0547

Calculated values
ΔE_f (raw) in eV/f.u.: -7.55
Magnetization in μB/f.u.: 0.00
DFT total energy in eV/atom: -5.307



# 4
The following is a PBE calculation of a geometry-optimized Mg2Ga structure, from Alexandria.

Cell: 7.7527 7.7527 7.0109 Å, 90.00 90.00 120.00°
Fractional coordinates of all 18 atoms:
1 Mg 0.0000 0.2768 0.0000
2 Mg 0.0000 0.2768 0.5000
3 Mg 0.0212 0.6271 0.2500
4 Mg 0.2768 0.0000 0.0000
5 Mg 0.2768 0.0000 0.5000
6 Mg 0.3729 0.3941 0.2500
7 Mg 0.3941 0.3729 0.7500
8 Mg 0.6059 0.9788 0.2500
9 Mg 0.6271 0.0212 0.7500
10 Mg 0.7232 0.7232 0.0000
11 Mg 0.7232 0.7232 0.5000
12 Mg 0.9788 0.6059 0.7500
13 Ga 0.0000 0.0000 0.2500
14 Ga 0.0000 0.0000 0.7500
15 Ga 0.3333 0.6667 0.5320
16 Ga 0.3333 0.6667 0.9680
17 Ga 0.6667 0.3333 0.0320
18 Ga 0.6667 0.3333 0.4680

Calculated values
Magnetization in μB/f.u.: 0.00
DFT total energy in eV/atom: -2.209



# 5
The following is a PBE calculation of a geometry-optimized KBa2Pb structure, from Alexandria.

Cell: 10.3578 10.3578 10.3578 Å, 30.70 30.70 30.70°
Fractional coordinates of all 4 atoms:
1 K 0.0000 0.0000 0.0000
2 Ba 0.2184 0.2184 0.2184
3 Ba 0.7816 0.7816 0.7816
4 Pb 0.5000 0.5000 0.5000

Calculated values
Magnetization in μB/f.u.: 0.00
DFT total energy in eV/atom: -2.356



# 6
The following is a PBE calculation of a geometry-optimized AcPmMgSi structure, from Alexandria.

Cell: 5.4078 5.4078 5.4078 Å, 60.00 60.00 60.00°
Fractional coordinates of all 4 atoms:
1 Ac 0.0000 0.0000 0.0000
2 Pm 0.5000 0.5000 0.5000
3 Mg 0.7500 0.7500 0.7500
4 Si 0.2500 0.2500 0.2500

Calculated values
ΔE_f (raw) in eV/f.u.: -0.78
Magnetization in μB/f.u.: 0.00
DFT total energy in eV/atom: -4.164



# 7
The following is a PBE calculation of a geometry-optimized ZnTeMoN2 structure, from Alexandria.

Cell: 3.8943 3.8943 5.3478 Å, 90.00 90.00 90.00°
Fractional coordinates of all 5 atoms:
1 Zn 0.0000 0.0000 0.0000
2 Te 0.0000 0.0000 0.5000
3 Mo 0.5000 0.5000 0.5000
4 N 0.0000 0.5000 0.0000
5 N 0.5000 0.0000 0.0000

Calculated values
ΔE_f (raw) in eV/f.u.: 9.52
Magnetization in μB/f.u.: 0.00
DFT total energy in eV/atom: -4.475



# 8
The following is a PBE calculation of a geometry-optimized Na2SbH6 structure, from Alexandria.

Cell: 5.4797 5.4797 5.4797 Å, 60.00 60.00 60.00°
Fractional coordinates of all 9 atoms:
1 Na 0.2500 0.2500 0.2500
2 Na 0.7500 0.7500 0.7500
3 Sb 0.0000 0.0000 0.0000
4 H 0.2486 0.2486 0.7514
5 H 0.2486 0.7514 0.2486
6 H 0.2486 0.7514 0.7514
7 H 0.7514 0.2486 0.2486
8 H 0.7514 0.2486 0.7514
9 H 0.7514 0.7514 0.2486

Calculated values
Magnetization in μB/f.u.: 0.00
DFT total energy in eV/atom: -2.732



Please write out number 6 again, unchanged.
The following is a PBE calculation of a geometry-optimized AcPmMgSi structure, from Alexandria.

Cell: 5.4078 5.4078 5.4078 Å, 60.00 60.00 60.00°
Fractional coordinates of all 4 atoms:
1 Ac 0.0000 0.0000 0.0000
2 Pm 0.5000 0.5000 0.5000
3 Mg 0.7500 0.7500 0.7500
4 Si 0.2500 0.2500 0.2500

Calculated values
ΔE_f (raw) in eV/f.u.: -0.78
Magnetization in μB/f.u.: 0.00
DFT total energy in eV/atom: -4.164